DFT (GGA-PBE) results for a relaxed TiInTe2 crystal.

Space-group type ... P4/mmm
Calculated total energy ... -0.16777 hartree per atom

Geometry as POSCAR:
```
TiInTe2
1.0
-1.623 -0.348 -3.085
-0.514 -3.404 0.654
-7.281 1.797 3.628
Te Ti In
2 1 1
Cartesian
-5.860 1.446 2.920 Te
-1.420 0.351 0.708 Te
-1.069 -1.876 -1.215 Ti
-4.709 -0.977 0.599 In
```